No. 1
Here is an optimized crystal structure of HfTiSN2 from the Alexandria database. Energies are from PBE-GGA.

Cell: 4.072 4.072 5.024 Å, 90.00 90.00 90.00°
Last column: magnetic moment on the atom in μB.
Element x y z (fractional)
Hf1 0.000 0.000 0.000  -0.02
Ti1 0.500 0.500 0.500  1.39
N1 0.500 0.000 0.000  -0.26
N2 0.000 0.500 0.000  -0.26
S1 0.000 0.000 0.500  -0.07

Results
uncorrected formation energy = -35.3 meV per atom
offset from the most stable computed form = 283 meV per atom
energy = -7.761 eV per atom



No. 2
Here is an optimized crystal structure of BeV3Ru from the Alexandria database. Energies are from PBE-GGA.

Cell: 4.494 4.494 4.494 Å, 90.00 90.00 90.00°
Element x y z (fractional)
V1 0.500 0.000 0.000
V2 0.000 0.000 0.500
Be1 0.500 0.500 0.500
V3 0.000 0.500 0.000
Ru1 0.000 0.000 0.000

Results
offset from the most stable computed form = 653 meV per atom
ΔE_f = 1.29 eV/atom
energy = -6.777 eV per atom



No. 3
Here is an optimized crystal structure of Ho2SnSb from the Alexandria database. Energies are from PBE-GGA.

Cell: 4.269 4.466 6.137 Å, 90.00 110.42 90.00°
Element x y z (fractional)
Sn1 0.688 0.000 0.916
Sb1 0.480 0.500 0.498
Ho1 0.953 0.000 0.445
Ho2 0.210 0.500 0.960

Results
uncorrected formation energy = -797.1 meV per atom
offset from the most stable computed form = 106 meV per atom
energy = -5.117 eV per atom



No. 4
Here is an optimized crystal structure of SrTl3Au3 from the Alexandria database. Energies are from PBE-GGA.

Cell: 4.891 9.465 9.476 Å, 119.95 90.00 90.00°
Element x y z (fractional)
Tl1 0.250 0.224 0.963
Sr1 0.750 0.334 0.667
Au1 0.750 0.596 0.533
Au2 0.750 0.466 0.063
Tl2 0.250 0.738 0.775
Tl3 0.750 0.776 0.037
Tl4 0.750 0.262 0.225
Tl5 0.750 0.963 0.738
Sr2 0.250 0.666 0.333
Tl6 0.250 0.037 0.262
Au3 0.250 0.404 0.467
Au4 0.250 0.063 0.596
Au5 0.250 0.534 0.937
Au6 0.750 0.937 0.404

Results
offset from the most stable computed form = 0 meV per atom
ΔE_f = -0.31 eV/atom
energy = -2.967 eV per atom



No. 5
Here is an optimized crystal structure of YPuTl6 from the Alexandria database. Energies are from PBE-GGA.

Cell: 4.772 4.772 9.583 Å, 90.00 90.00 90.00°
Last column: magnetic moment on the atom in μB.
Element x y z (fractional)
Tl1 0.000 0.500 0.250  -0.01
Pu1 0.000 0.000 0.500  5.44
Tl2 0.000 0.500 0.750  -0.01
Tl3 0.500 0.500 0.500  0.01
Tl4 0.500 0.000 0.250  -0.01
Y1 0.000 0.000 0.000  -0.01
Tl5 0.500 0.500 0.000  -0.01
Tl6 0.500 0.000 0.750  -0.01

Results
ΔE_f = -0.14 eV/atom
energy = -4.516 eV per atom



No. 6
Here is an optimized crystal structure of Ga4Co5Ge from the Alexandria database. Energies are from PBE-GGA.

Cell: 2.886 2.886 14.499 Å, 90.00 90.00 90.00°
Last column: magnetic moment on the atom in μB.
Element x y z (fractional)
Ge1 0.000 0.000 0.000  -0.01
Co1 0.500 0.500 0.301  0.33
Co2 0.500 0.500 0.098  0.63
Ga1 0.000 0.000 0.600  -0.01
Co3 0.500 0.500 0.902  0.63
Ga2 0.000 0.000 0.798  -0.02
Co4 0.500 0.500 0.500  0.08
Co5 0.500 0.500 0.699  0.33
Ga3 0.000 0.000 0.400  -0.01
Ga4 0.000 0.000 0.202  -0.02

Results
ΔE_f = -0.23 eV/atom
energy = -5.459 eV per atom



What did the sixth record say?
Here is an optimized crystal structure of Ga4Co5Ge from the Alexandria database. Energies are from PBE-GGA.

Cell: 2.886 2.886 14.499 Å, 90.00 90.00 90.00°
Last column: magnetic moment on the atom in μB.
Element x y z (fractional)
Ge1 0.000 0.000 0.000  -0.01
Co1 0.500 0.500 0.301  0.33
Co2 0.500 0.500 0.098  0.63
Ga1 0.000 0.000 0.600  -0.01
Co3 0.500 0.500 0.902  0.63
Ga2 0.000 0.000 0.798  -0.02
Co4 0.500 0.500 0.500  0.08
Co5 0.500 0.500 0.699  0.33
Ga3 0.000 0.000 0.400  -0.01
Ga4 0.000 0.000 0.202  -0.02

Results
ΔE_f = -0.23 eV/atom
energy = -5.459 eV per atom